Entry from the Alexandria database: a relaxed structure of NaLi2Ru6O12 (GGA-PBE).

a = 9.572 Å, b = 9.572 Å, c = 2.758 Å
α = 90.00°, β = 90.00°, γ = 120.00°
Fractional coordinates of all 21 atoms:
Na (0.667, 0.333, 0.500)
Li (0.333, 0.667, 0.500)
Li (0.000, 0.000, 0.000)
Ru (0.023, 0.674, 0.500)
Ru (0.326, 0.349, 0.500)
Ru (0.651, 0.977, 0.500)
Ru (0.308, 0.990, 0.000)
Ru (0.010, 0.317, 0.000)
Ru (0.683, 0.692, 0.000)
O (0.121, 0.921, 0.500)
O (0.079, 0.200, 0.500)
O (0.800, 0.879, 0.500)
O (0.209, 0.743, 0.000)
O (0.257, 0.465, 0.000)
O (0.535, 0.791, 0.000)
O (0.966, 0.442, 0.500)
O (0.558, 0.524, 0.500)
O (0.476, 0.034, 0.500)
O (0.380, 0.229, 0.000)
O (0.771, 0.151, 0.000)
O (0.849, 0.620, 0.000)

Summary:
- D(E_F) (states/eV/f.u.) = 17.3
- calculated density (g/cm3) = 6.34
- uncorrected formation energy (meV/atom) = -1108
- spin magnetization (μB per formula unit) = 0.0
- symmetry = No. 174
- electronic total energy (eV per atom) = -6.84